Record 1
A plane-wave DFT calculation with PBE was carried out for an optimized crystal structure of Ce6Ir3Rh.

Lattice parameters (Å, degrees): 11.730 3.987 11.775 90.00 112.02 90.00
Positions (direct):
Ce 0.046 0.250 0.418
Ce 0.119 0.250 0.968
Ce 0.225 0.750 0.753
Ce 0.227 0.750 0.271
Ce 0.406 0.250 0.568
Ce 0.432 0.750 0.105
Ce 0.568 0.250 0.895
Ce 0.594 0.750 0.432
Ce 0.773 0.250 0.729
Ce 0.775 0.250 0.247
Ce 0.881 0.750 0.032
Ce 0.954 0.750 0.582
Ir 0.036 0.250 0.174
Ir 0.220 0.750 0.510
Ir 0.338 0.250 0.921
Ir 0.662 0.750 0.079
Ir 0.780 0.250 0.490
Ir 0.964 0.750 0.826
Rh 0.417 0.250 0.310
Rh 0.583 0.750 0.690

- energy of formation from the pure elements (eV/atom) = -0.59
- SG = P2_1/m
- energy (eV per atom) = -7.54

---

Record 2
A plane-wave DFT calculation with PBE was carried out for an optimized crystal structure of Ce5Ir2Rh.

Lattice parameters (Å, degrees): 6.794 6.794 13.761 90.00 90.00 131.41
Positions (direct):
Ce 0.056 0.944 0.622
Ce 0.056 0.944 0.878
Ce 0.256 0.744 0.250
Ce 0.346 0.654 0.564
Ce 0.346 0.654 0.936
Ce 0.654 0.346 0.064
Ce 0.654 0.346 0.436
Ce 0.744 0.256 0.750
Ce 0.944 0.056 0.122
Ce 0.944 0.056 0.378
Ir 0.155 0.845 0.059
Ir 0.155 0.845 0.441
Ir 0.845 0.155 0.559
Ir 0.845 0.155 0.941
Rh 0.228 0.772 0.750
Rh 0.772 0.228 0.250

- energy of formation from the pure elements (eV/atom) = -0.43
- SG = Cmcm
- energy (eV per atom) = -7.27

---

Record 3
A plane-wave DFT calculation with PBE was carried out for an optimized crystal structure of Ce2IrRh2.

Lattice parameters (Å, degrees): 7.263 7.263 7.567 90.00 90.00 90.00
Positions (direct):
Ce 0.185 0.315 0.000
Ce 0.185 0.315 0.500
Ce 0.315 0.815 0.000
Ce 0.315 0.815 0.500
Ce 0.685 0.185 0.000
Ce 0.685 0.185 0.500
Ce 0.815 0.685 0.000
Ce 0.815 0.685 0.500
Ir 0.000 0.000 0.250
Ir 0.000 0.000 0.750
Ir 0.500 0.500 0.250
Ir 0.500 0.500 0.750
Rh 0.131 0.631 0.250
Rh 0.131 0.631 0.750
Rh 0.369 0.131 0.250
Rh 0.369 0.131 0.750
Rh 0.631 0.869 0.250
Rh 0.631 0.869 0.750
Rh 0.869 0.369 0.250
Rh 0.869 0.369 0.750

- energy of formation from the pure elements (eV/atom) = -0.66
- SG = P4/mnc
- energy (eV per atom) = -7.74

---

Record 4
A plane-wave DFT calculation with PBE was carried out for an optimized crystal structure of Ce2Ir15Rh2.

Lattice parameters (Å, degrees): 6.843 6.843 6.843 83.34 83.34 83.34
Positions (direct):
Ce 0.162 0.162 0.162
Ce 0.838 0.838 0.838
Ir 0.000 0.500 0.500
Ir 0.147 0.147 0.650
Ir 0.147 0.650 0.147
Ir 0.205 0.500 0.795
Ir 0.205 0.795 0.500
Ir 0.350 0.853 0.853
Ir 0.500 0.000 0.500
Ir 0.500 0.205 0.795
Ir 0.500 0.500 0.000
Ir 0.500 0.795 0.205
Ir 0.650 0.147 0.147
Ir 0.795 0.205 0.500
Ir 0.795 0.500 0.205
Ir 0.853 0.350 0.853
Ir 0.853 0.853 0.350
Rh 0.393 0.393 0.393
Rh 0.607 0.607 0.607

- energy of formation from the pure elements (eV/atom) = -0.17
- SG = R-3m
- energy (eV per atom) = -8.57

---

Record 5
A plane-wave DFT calculation with PBE was carried out for an optimized crystal structure of Ce4IrRh3.

Lattice parameters (Å, degrees): 3.851 4.037 11.261 90.00 90.00 90.00
Positions (direct):
Ce 0.000 0.000 0.000
Ce 0.000 0.500 0.274
Ce 0.500 0.000 0.498
Ce 0.500 0.500 0.773
Ir 0.500 0.000 0.233
Rh 0.000 0.000 0.734
Rh 0.000 0.500 0.540
Rh 0.500 0.500 0.037

- energy of formation from the pure elements (eV/atom) = -0.79
- SG = Pmm2
- energy (eV per atom) = -7.62

---

Record 6
A plane-wave DFT calculation with PBE was carried out for an optimized crystal structure of Ce8Ir2Rh3.

Lattice parameters (Å, degrees): 8.248 8.248 6.615 108.57 108.57 56.53
Positions (direct):
Ce 0.113 0.113 0.239
Ce 0.144 0.621 0.241
Ce 0.343 0.343 0.712
Ce 0.379 0.856 0.759
Ce 0.621 0.144 0.241
Ce 0.657 0.657 0.288
Ce 0.856 0.379 0.759
Ce 0.887 0.887 0.761
Ir 0.242 0.242 0.009
Ir 0.758 0.758 0.991
Rh 0.000 0.000 0.500
Rh 0.299 0.701 0.000
Rh 0.701 0.299 0.000

- energy of formation from the pure elements (eV/atom) = -0.50
- SG = C2/m
- energy (eV per atom) = -7.21

---

Q: energy of formation from the pure elements of number 4 (Ce2Ir15Rh2)?
A: -0.17 eV/atom

---

Repeat the first record exactly.
A plane-wave DFT calculation with PBE was carried out for an optimized crystal structure of Ce6Ir3Rh.

Lattice parameters (Å, degrees): 11.730 3.987 11.775 90.00 112.02 90.00
Positions (direct):
Ce 0.046 0.250 0.418
Ce 0.119 0.250 0.968
Ce 0.225 0.750 0.753
Ce 0.227 0.750 0.271
Ce 0.406 0.250 0.568
Ce 0.432 0.750 0.105
Ce 0.568 0.250 0.895
Ce 0.594 0.750 0.432
Ce 0.773 0.250 0.729
Ce 0.775 0.250 0.247
Ce 0.881 0.750 0.032
Ce 0.954 0.750 0.582
Ir 0.036 0.250 0.174
Ir 0.220 0.750 0.510
Ir 0.338 0.250 0.921
Ir 0.662 0.750 0.079
Ir 0.780 0.250 0.490
Ir 0.964 0.750 0.826
Rh 0.417 0.250 0.310
Rh 0.583 0.750 0.690

- energy of formation from the pure elements (eV/atom) = -0.59
- SG = P2_1/m
- energy (eV per atom) = -7.54